Run one
The following is a PBE calculation of LaPS2I after structural relaxation, from Alexandria.

a = 5.4107 Å, b = 5.4107 Å, c = 6.2475 Å
α = 90.00°, β = 90.00°, γ = 90.00°
Space group P4/mmm (No. 123)
Symmetry-distinct sites (fractional):
La: 0.0000 0.0000 0.0000
P: 0.0000 0.0000 0.5000
S: 0.0000 0.5000 0.0000
I: 0.5000 0.5000 0.5000

- theoretical density (g/cm³) = 3.28

***

Run two
The following is a PBE calculation of LaPS2I after structural relaxation, from Alexandria.

a = 5.0100 Å, b = 5.0100 Å, c = 5.2322 Å
α = 90.00°, β = 90.00°, γ = 90.00°
Space group P4/mmm (No. 123)
Symmetry-distinct sites (fractional):
La: 0.0000 0.0000 0.0000
P: 0.5000 0.5000 0.0000
S: 0.0000 0.5000 0.5000
I: 0.5000 0.5000 0.5000

- theoretical density (g/cm³) = 4.56

***

run two comes first in stability; the runner-up is 197 meV per atom higher.

***

Run one
The following is a PBE calculation of LaSbPI2 after structural relaxation, from Alexandria.

a = 5.2785 Å, b = 5.2785 Å, c = 5.7357 Å
α = 90.00°, β = 90.00°, γ = 90.00°
Space group P4/mmm (No. 123)
Symmetry-distinct sites (fractional):
La: 0.0000 0.0000 0.0000
Sb: 0.5000 0.5000 0.0000
P: 0.5000 0.5000 0.5000
I: 0.0000 0.5000 0.5000

- theoretical density (g/cm³) = 5.67

***

Run two
The following is a PBE calculation of LaSbPI2 after structural relaxation, from Alexandria.

a = 6.2110 Å, b = 6.2110 Å, c = 6.6336 Å
α = 90.00°, β = 90.00°, γ = 90.00°
Space group P4/mmm (No. 123)
Symmetry-distinct sites (fractional):
La: 0.0000 0.0000 0.0000
Sb: 0.0000 0.0000 0.5000
P: 0.5000 0.5000 0.5000
I: 0.0000 0.5000 0.0000

- theoretical density (g/cm³) = 3.54

***

run one comes first in stability; the runner-up is 265 meV per atom higher.

***

Run one
The following is a PBE calculation of LaSb2PI after structural relaxation, from Alexandria.

a = 5.3009 Å, b = 5.3009 Å, c = 5.3821 Å
α = 90.00°, β = 90.00°, γ = 90.00°
Space group P4/mmm (No. 123)
Symmetry-distinct sites (fractional):
La: 0.0000 0.0000 0.0000
Sb: 0.0000 0.5000 0.5000
P: 0.5000 0.5000 0.5000
I: 0.5000 0.5000 0.0000

- theoretical density (g/cm³) = 5.93

***

Run two
The following is a PBE calculation of LaSb2PI after structural relaxation, from Alexandria.

a = 6.2996 Å, b = 6.2996 Å, c = 6.1945 Å
α = 90.00°, β = 90.00°, γ = 90.00°
Space group P4/mmm (No. 123)
Symmetry-distinct sites (fractional):
La: 0.0000 0.0000 0.0000
Sb: 0.0000 0.5000 0.0000
P: 0.5000 0.5000 0.5000
I: 0.0000 0.0000 0.5000

- theoretical density (g/cm³) = 3.65

***

run one comes first in stability; the runner-up is 759 meV per atom higher.

***

Run one
The following is a PBE calculation of LaPb3I after structural relaxation, from Alexandria.

a = 5.9133 Å, b = 5.9133 Å, c = 5.9133 Å
α = 90.00°, β = 90.00°, γ = 90.00°
Space group Pm-3m (No. 221)
Symmetry-distinct sites (fractional):
La: 0.0000 0.0000 0.0000
Pb: 0.0000 0.5000 0.5000
I: 0.5000 0.5000 0.5000

- theoretical density (g/cm³) = 7.13

***

Run two
The following is a PBE calculation of LaPb3I after structural relaxation, from Alexandria.

a = 6.2599 Å, b = 6.2599 Å, c = 6.2599 Å
α = 90.00°, β = 90.00°, γ = 90.00°
Space group Pm-3m (No. 221)
Symmetry-distinct sites (fractional):
La: 0.0000 0.0000 0.0000
Pb: 0.0000 0.0000 0.5000
I: 0.5000 0.5000 0.5000

- theoretical density (g/cm³) = 6.01

***

run one comes first in stability; the runner-up is 85 meV per atom higher.